(1)
Pm3Pr4Mg after structural relaxation, computed with PBE.

* energy: -4.384 eV/atom
* total magnetic moment: 0.0 Bohr magnetons per cell
* DFT formation energy: -0.01 eV per atom
* ΔE to the lowest computed polymorph: 0 meV/atom

```
data_Pm3Pr4Mg
_symmetry_space_group_name_H-M 'P 1'
_symmetry_Int_Tables_number 1
_symmetry_space_group_name_Hall 'P 1'
_cell_length_a 3.707
_cell_length_b 3.707
_cell_length_c 19.896
_cell_angle_alpha 90.00
_cell_angle_beta 90.00
_cell_angle_gamma 90.00
loop_
_atom_site_label
_atom_site_fract_x
_atom_site_fract_y
_atom_site_fract_z
Pr1 0.000 0.000 0.370
Pr2 0.000 0.000 0.890
Pr3 0.000 0.000 0.630
Pr4 0.000 0.000 0.110
Mg1 0.500 0.500 0.000
Pm1 0.500 0.500 0.761
Pm2 0.500 0.500 0.239
Pm3 0.500 0.500 0.500
```



(2)
Pm7Pr3Mg after structural relaxation, computed with PBE.

* energy: -4.307 eV/atom
* total magnetic moment: 0.0 Bohr magnetons per cell
* DFT formation energy: 0.16 eV per atom

```
data_Pm7Pr3Mg
_symmetry_space_group_name_H-M 'P 1'
_symmetry_Int_Tables_number 1
_symmetry_space_group_name_Hall 'P 1'
_cell_length_a 8.816
_cell_length_b 7.168
_cell_length_c 7.168
_cell_angle_alpha 120.00
_cell_angle_beta 90.00
_cell_angle_gamma 90.00
loop_
_atom_site_label
_atom_site_fract_x
_atom_site_fract_y
_atom_site_fract_z
Pr1 0.783 0.501 0.002
Pr2 0.783 0.998 0.499
Pr3 0.783 0.501 0.499
Mg1 0.444 0.333 0.667
Pm1 0.446 0.337 0.169
Pm2 0.122 0.167 0.334
Pm3 0.122 0.666 0.833
Pm4 0.446 0.831 0.663
Pm5 0.446 0.831 0.169
Pm6 0.117 0.667 0.333
Pm7 0.122 0.167 0.833
```